Here is a relaxed SrNbCu crystal from Alexandria. Energies are from GGA-PBE.

abc: 3.889 11.181 3.763
angles: 90.03 90.00 79.92
Fractional coordinates of all 6 atoms:
Nb 0.530 0.689 0.379
Nb 0.446 0.860 0.879
Cu 0.940 0.870 0.380
Cu 0.036 0.679 0.879
Sr 0.317 0.114 0.379
Sr 0.655 0.435 0.879

**Density of states at the Fermi level**: 4.25 states/eV per cell
**Calculated density**: 5.03 g/cm3
**Total magnetic moment**: 0.00 μB/atom
**Relative energy among the computed polymorphs**: 13 meV per atom



Here is a relaxed SrNbCu crystal from Alexandria. Energies are from GGA-PBE.

abc: 5.111 5.111 6.205
angles: 90.00 90.00 120.00
Site moments in Bohr magnetons follow the coordinates.
Fractional coordinates of all 6 atoms:
Nb 0.667 0.333 0.250  1.99
Nb 0.333 0.667 0.750  1.99
Sr 0.667 0.333 0.750  0.16
Sr 0.333 0.667 0.250  0.16
Cu 0.000 0.000 0.500  0.07
Cu 0.000 0.000 0.000  0.08

**Density of states at the Fermi level**: 7.02 states/eV per cell
**Calculated density**: 5.77 g/cm3
**Total magnetic moment**: 0.91 μB/atom
**Relative energy among the computed polymorphs**: 995 meV per atom



Here is a relaxed SrNbCu crystal from Alexandria. Energies are from GGA-PBE.

abc: 7.690 6.497 4.201
angles: 108.85 90.01 53.26
Fractional coordinates of all 6 atoms:
Cu 0.155 0.785 0.945
Cu 0.553 0.617 0.861
Sr 0.500 0.260 0.182
Sr 0.903 0.543 0.324
Nb 0.300 0.942 0.523
Nb 0.943 0.069 0.587

**Density of states at the Fermi level**: 4.66 states/eV per cell
**Calculated density**: 5.27 g/cm3
**Total magnetic moment**: 0.00 μB/atom
**Relative energy among the computed polymorphs**: 131 meV per atom



Here is a relaxed SrNbCu2 crystal from Alexandria. Energies are from GGA-PBE.

abc: 7.340 7.340 6.247
angles: 54.03 54.03 90.00
Fractional coordinates of all 8 atoms:
Cu 0.875 0.932 0.750
Cu 0.375 0.318 0.750
Cu 0.682 0.125 0.250
Cu 0.068 0.625 0.250
Sr 0.500 0.500 0.000
Sr 0.250 0.750 0.500
Nb 0.750 0.250 0.500
Nb 0.000 0.000 0.000

**Density of states at the Fermi level**: 19.32 states/eV per cell
**Calculated density**: 5.45 g/cm3
**Total magnetic moment**: 0.00 μB/atom
**Relative energy among the computed polymorphs**: 153 meV per atom